VASP calculation (PBE) on crystalline Tm3SiNi3 at its relaxed geometry.

abc: 3.890 5.361 13.356
angles: 84.68 81.63 68.73
Fractional coordinates of all 14 atoms:
Tm (0.522, 0.342, 0.615)
Tm (0.478, 0.658, 0.385)
Tm (0.257, 0.259, 0.228)
Tm (0.743, 0.741, 0.772)
Tm (0.394, 0.288, 0.924)
Tm (0.606, 0.712, 0.076)
Si (0.763, 0.085, 0.389)
Si (0.237, 0.915, 0.611)
Ni (0.841, 0.783, 0.535)
Ni (0.159, 0.217, 0.465)
Ni (0.106, 0.865, 0.924)
Ni (0.894, 0.135, 0.076)
Ni (0.959, 0.849, 0.234)
Ni (0.041, 0.151, 0.766)

Calculated values
For the raw total energy, the calculation gives -5.781 eV/atom. As for the space group: No. 12. The total moment comes out at 0.000 μB/cell.

***

VASP calculation (PBE) on crystalline TmSi6Ni12 at its relaxed geometry.

abc: 6.524 6.524 6.524
angles: 105.50 105.50 105.50
Fractional coordinates of all 19 atoms:
Tm (0.000, 0.000, 0.000)
Si (0.702, 0.257, 0.257)
Si (0.257, 0.257, 0.702)
Si (0.257, 0.702, 0.257)
Si (0.743, 0.743, 0.298)
Si (0.298, 0.743, 0.743)
Si (0.743, 0.298, 0.743)
Ni (0.879, 0.121, 0.500)
Ni (0.839, 0.579, 0.579)
Ni (0.579, 0.579, 0.839)
Ni (0.421, 0.161, 0.421)
Ni (0.421, 0.421, 0.161)
Ni (0.161, 0.421, 0.421)
Ni (0.121, 0.500, 0.879)
Ni (0.500, 0.879, 0.121)
Ni (0.121, 0.879, 0.500)
Ni (0.879, 0.500, 0.121)
Ni (0.500, 0.121, 0.879)
Ni (0.579, 0.839, 0.579)

Calculated values
For the raw total energy, the calculation gives -6.084 eV/atom. As for the space group: No. 166. The total moment comes out at 0.000 μB/cell.

***

VASP calculation (PBE) on crystalline Tm3Si5Ni6 at its relaxed geometry.

abc: 3.886 9.047 11.807
angles: 90.00 90.00 90.00
Fractional coordinates of all 28 atoms:
Tm (0.000, 0.245, 0.669)
Tm (0.500, 0.755, 0.169)
Tm (0.500, 0.755, 0.831)
Tm (0.000, 0.248, 0.000)
Tm (0.500, 0.752, 0.500)
Tm (0.000, 0.245, 0.331)
Si (0.000, 0.525, 0.885)
Si (0.000, 0.856, 0.667)
Si (0.000, 0.863, 0.000)
Si (0.500, 0.475, 0.615)
Si (0.500, 0.137, 0.500)
Si (0.000, 0.525, 0.115)
Si (0.500, 0.475, 0.385)
Si (0.000, 0.856, 0.333)
Si (0.500, 0.144, 0.833)
Si (0.500, 0.144, 0.167)
Ni (0.000, 0.004, 0.832)
Ni (0.500, 0.996, 0.668)
Ni (0.500, 0.410, 0.806)
Ni (0.500, 0.507, 0.000)
Ni (0.000, 0.493, 0.500)
Ni (0.000, 0.590, 0.694)
Ni (0.000, 0.590, 0.306)
Ni (0.500, 0.004, 0.000)
Ni (0.000, 0.004, 0.168)
Ni (0.500, 0.410, 0.194)
Ni (0.000, 0.996, 0.500)
Ni (0.500, 0.996, 0.332)

Calculated values
For the raw total energy, the calculation gives -6.152 eV/atom. As for the space group: No. 59. The total moment comes out at 0.000 μB/cell.

***

VASP calculation (PBE) on crystalline YTmSiNi at its relaxed geometry.

abc: 4.854 4.854 4.854
angles: 60.00 60.00 60.00
Fractional coordinates of all 4 atoms:
Y (0.500, 0.500, 0.500)
Ni (0.750, 0.750, 0.750)
Si (0.250, 0.250, 0.250)
Tm (0.000, 0.000, 0.000)

Calculated values
For the raw total energy, the calculation gives -6.029 eV/atom. The polymorph energy (0 for the lowest one) is 0.163 eV per atom. As for the space group: No. 216. The total moment comes out at 0.000 μB/cell.

***

Repeat the first record exactly.
VASP calculation (PBE) on crystalline Tm3SiNi3 at its relaxed geometry.

abc: 3.890 5.361 13.356
angles: 84.68 81.63 68.73
Fractional coordinates of all 14 atoms:
Tm (0.522, 0.342, 0.615)
Tm (0.478, 0.658, 0.385)
Tm (0.257, 0.259, 0.228)
Tm (0.743, 0.741, 0.772)
Tm (0.394, 0.288, 0.924)
Tm (0.606, 0.712, 0.076)
Si (0.763, 0.085, 0.389)
Si (0.237, 0.915, 0.611)
Ni (0.841, 0.783, 0.535)
Ni (0.159, 0.217, 0.465)
Ni (0.106, 0.865, 0.924)
Ni (0.894, 0.135, 0.076)
Ni (0.959, 0.849, 0.234)
Ni (0.041, 0.151, 0.766)

Calculated values
For the raw total energy, the calculation gives -5.781 eV/atom. As for the space group: No. 12. The total moment comes out at 0.000 μB/cell.

***

raw total energy of number 4 (YTmSiNi)? -6.029 eV/atom